Computed, not measured: CoB2Ir after structural relaxation at the PBE level of DFT.

Computed properties:
Calculated volume in A^3/atom: 11.89
M_tot in μB/f.u.: 0.0
Energy of formation in meV/atom: 297
Excess energy over the best structure of this formula in the dataset in eV per atom: 0.395

a = 5.627 Å, b = 5.627 Å, c = 5.627 Å
α = 132.45°, β = 132.45°, γ = 69.52°
Fractional positions:
Co: 0.000 0.000 0.000
Co: 0.750 0.250 0.500
B: 0.107 0.625 0.982
B: 0.375 0.357 0.482
B: 0.643 0.125 0.018
B: 0.875 0.893 0.518
Ir: 0.250 0.750 0.500
Ir: 0.500 0.500 0.000

***

Computed, not measured: MgNpPd4 after structural relaxation at the PBE level of DFT.

Computed properties:
Calculated volume in A^3/atom: 18.21
M_tot in μB/f.u.: 3.5
Energy of formation in meV/atom: -377

a = 5.366 Å, b = 5.366 Å, c = 5.366 Å
α = 60.00°, β = 60.00°, γ = 60.00°
Fractional positions:
Mg: 0.000 0.000 0.000
Np: 0.250 0.250 0.250
Pd: 0.123 0.626 0.626
Pd: 0.626 0.123 0.626
Pd: 0.626 0.626 0.123
Pd: 0.626 0.626 0.626